Entry 1:
Material: SiIr2
Method: DFT, meta-GGA SCAN
State: single point on PBEsol structure

Computed properties:
As for the total energy: -615.3 eV/cell.

Cell: 5.2564 3.9861 7.6460 Å, 90.00 90.00 90.00°
Closest atoms and distances in Å follow each position.
Positions (direct):
Si1 0.2033 0.2500 0.1008  7 Ir 2.41-2.50
Si2 0.2967 0.7500 0.6008  7 Ir 2.41-2.50
Si3 0.7033 0.2500 0.3992  7 Ir 2.41-2.50
Si4 0.7967 0.7500 0.8992  7 Ir 2.41-2.50
Ir1 0.0245 0.2500 0.7978  3 Si 2.45-2.50, 2 Ir 2.73
Ir2 0.1608 0.2500 0.4263  4 Si 2.41-2.50
Ir3 0.3392 0.7500 0.9263  4 Si 2.41-2.50
Ir4 0.4755 0.7500 0.2978  3 Si 2.45-2.50, 2 Ir 2.73
Ir5 0.5245 0.2500 0.7022  3 Si 2.45-2.50, 2 Ir 2.73
Ir6 0.6608 0.2500 0.0737  4 Si 2.41-2.50
Ir7 0.8392 0.7500 0.5737  4 Si 2.41-2.50
Ir8 0.9755 0.7500 0.2022  3 Si 2.45-2.50, 2 Ir 2.73

Entry 2:
Material: Si3Ir
Method: DFT, meta-GGA SCAN
State: single point on PBEsol structure

Computed properties:
As for the total energy: -100.6 eV/cell.

Cell: 3.0015 3.0015 7.3272 Å, 90.00 90.00 120.00°
Closest atoms and distances in Å follow each position.
Positions (direct):
Si1 0.0000 0.0000 0.0000  6 Si 2.57
Si2 0.3333 0.6667 0.2585  3 Ir 2.48, 3 Si 2.57
Si3 0.3333 0.6667 0.7415  3 Ir 2.48, 3 Si 2.57
Ir1 0.0000 0.0000 0.5000  6 Si 2.48

Entry 3:
Material: Si4Ir3
Method: DFT, meta-GGA SCAN
State: single point on PBEsol structure

Computed properties:
As for the total energy: -1034.6 eV/cell.

Cell: 18.8519 3.7062 5.7686 Å, 90.00 90.00 90.00°
Closest atoms and distances in Å follow each position.
Positions (direct):
Si1 0.0498 0.2500 0.0269  4 Ir 2.46-2.48, 5 Si 2.61-2.73
Si2 0.0907 0.2500 0.5725  6 Ir 2.41-2.65
Si3 0.1439 0.7500 0.1098  4 Ir 2.31-2.41
Si4 0.2303 0.2500 0.2859  6 Ir 2.41-2.65, 2 Si 2.67
Si5 0.2697 0.7500 0.7859  6 Ir 2.41-2.65, 2 Si 2.67
Si6 0.3561 0.2500 0.6098  4 Ir 2.31-2.41
Si7 0.4093 0.7500 0.0725  6 Ir 2.41-2.65
Si8 0.4502 0.7500 0.5269  4 Ir 2.46-2.48, 5 Si 2.61-2.73
Si9 0.5498 0.2500 0.4731  4 Ir 2.46-2.48, 5 Si 2.61-2.73
Si10 0.5907 0.2500 0.9275  6 Ir 2.41-2.65
Si11 0.6439 0.7500 0.3902  4 Ir 2.31-2.41
Si12 0.7303 0.2500 0.2141  6 Ir 2.41-2.65, 2 Si 2.67
Si13 0.7697 0.7500 0.7141  6 Ir 2.41-2.65, 2 Si 2.67
Si14 0.8561 0.2500 0.8902  4 Ir 2.31-2.41
Si15 0.9093 0.7500 0.4275  6 Ir 2.41-2.65
Si16 0.9502 0.7500 0.9731  4 Ir 2.46-2.48, 5 Si 2.61-2.73
Ir1 0.0314 0.7500 0.3065  7 Si 2.41-2.65
Ir2 0.1743 0.2500 0.8908  5 Si 2.31-2.51
Ir3 0.1760 0.7500 0.5008  6 Si 2.34-2.49
Ir4 0.3240 0.2500 0.0008  6 Si 2.34-2.49
Ir5 0.3257 0.7500 0.3908  5 Si 2.31-2.51
Ir6 0.4686 0.2500 0.8065  7 Si 2.41-2.65
Ir7 0.5314 0.7500 0.1935  7 Si 2.41-2.65
Ir8 0.6743 0.2500 0.6092  5 Si 2.31-2.51
Ir9 0.6760 0.7500 0.9992  6 Si 2.34-2.49
Ir10 0.8240 0.2500 0.4992  6 Si 2.34-2.49
Ir11 0.8257 0.7500 0.1092  5 Si 2.31-2.51
Ir12 0.9686 0.2500 0.6935  7 Si 2.41-2.65

Entry 4:
Material: Si3Ir
Method: DFT, meta-GGA SCAN
State: single point on PBEsol structure

Computed properties:
As for the total energy: -100.1 eV/cell.

Cell: 4.4659 4.4659 4.4659 Å, 112.47 112.47 112.47°
Closest atoms and distances in Å follow each position.
Positions (direct):
Si1 0.0000 0.5000 0.5000  4 Si 2.48, 2 Ir 2.48
Si2 0.5000 0.0000 0.5000  2 Ir 2.48, 4 Si 2.48
Si3 0.5000 0.5000 0.0000  4 Si 2.48, 2 Ir 2.48
Ir1 0.0000 0.0000 0.0000  6 Si 2.48

Entry 5:
Material: Si3Ir
Method: DFT, meta-GGA SCAN
State: single point on PBEsol structure

Computed properties:
As for the total energy: -100.4 eV/cell.

Cell: 4.3785 4.3785 4.3785 Å, 124.68 124.68 82.07°
Closest atoms and distances in Å follow each position.
Positions (direct):
Si1 0.0000 0.0000 0.0000  8 Si 2.62, 4 Ir 2.87
Si2 0.2500 0.7500 0.5000  4 Ir 2.62, 8 Si 2.62-2.87
Si3 0.7500 0.2500 0.5000  4 Ir 2.62, 8 Si 2.62-2.87
Ir1 0.5000 0.5000 0.0000  12 Si 2.62-2.87

Entry 6:
Material: SiIr3
Method: DFT, meta-GGA SCAN
State: single point on PBEsol structure

Computed properties:
As for the total energy: -222.2 eV/cell.

Cell: 4.2953 4.2953 4.2953 Å, 60.00 60.00 60.00°
Closest atoms and distances in Å follow each position.
Positions (direct):
Si1 0.0000 0.0000 0.0000  8 Ir 2.63
Ir1 0.2500 0.2500 0.2500  4 Ir 2.63, 4 Si 2.63
Ir2 0.5000 0.5000 0.5000  8 Ir 2.63
Ir3 0.7500 0.7500 0.7500  4 Ir 2.63, 4 Si 2.63

Entry 7:
Material: SiIr3
Method: DFT, meta-GGA SCAN
State: single point on PBEsol structure

Computed properties:
As for the total energy: -224.3 eV/cell.

Cell: 8.4458 8.4458 8.4458 Å, 18.75 18.75 18.75°
Closest atoms and distances in Å follow each position.
Positions (direct):
Si1 0.0000 0.0000 0.0000  6 Ir 2.46, 6 Si 2.75
Ir1 0.2577 0.2577 0.2577  3 Si 2.46, 6 Ir 2.75
Ir2 0.5000 0.5000 0.5000  12 Ir 2.75-2.77
Ir3 0.7423 0.7423 0.7423  3 Si 2.46, 6 Ir 2.75

Entry 8:
Material: Si2Ir
Method: DFT, meta-GGA SCAN
State: single point on PBEsol structure

Computed properties:
As for the total energy: -93.0 eV/cell.

Cell: 4.0139 4.0139 4.0139 Å, 60.00 60.00 60.00°
Closest atoms and distances in Å follow each position.
Positions (direct):
Si1 0.2500 0.2500 0.2500  4 Ir 2.46
Si2 0.7500 0.7500 0.7500  4 Ir 2.46
Ir1 0.0000 0.0000 0.0000  8 Si 2.46

Entry 9:
Material: SmSi2Ir2
Method: DFT, meta-GGA SCAN
State: single point on PBEsol structure

Computed properties:
As for the total energy: -425.6 eV/cell.

Cell: 4.1228 4.1228 9.7982 Å, 90.00 90.00 90.00°
Closest atoms and distances in Å follow each position.
Positions (direct):
Sm1 0.2500 0.2500 0.2457  8 Ir 3.14-3.23, 8 Si 3.16-3.17
Sm2 0.7500 0.7500 0.7543  8 Ir 3.14-3.23, 8 Si 3.16-3.17
Si1 0.2500 0.2500 0.6305  5 Ir 2.37-2.43
Si2 0.2500 0.7500 0.0000  4 Ir 2.41
Si3 0.7500 0.2500 0.0000  4 Ir 2.41
Si4 0.7500 0.7500 0.3695  5 Ir 2.37-2.43
Ir1 0.2500 0.2500 0.8722  5 Si 2.37-2.41
Ir2 0.2500 0.7500 0.5000  4 Si 2.43
Ir3 0.7500 0.2500 0.5000  4 Si 2.43
Ir4 0.7500 0.7500 0.1278  5 Si 2.37-2.41

Entry 10:
Material: SmSi2Ir2
Method: DFT, meta-GGA SCAN
State: single point on PBEsol structure

Computed properties:
As for the total energy: -212.8 eV/cell.

Cell: 5.7675 5.7675 5.7675 Å, 138.82 138.82 59.65°
Closest atoms and distances in Å follow each position.
Positions (direct):
Sm1 0.0000 0.0000 0.0000  8 Si 3.12, 8 Ir 3.22
Si1 0.3778 0.3778 0.0000  4 Ir 2.40, 1 Si 2.45
Si2 0.6222 0.6222 0.0000  4 Ir 2.40, 1 Si 2.45
Ir1 0.2500 0.7500 0.5000  4 Si 2.40
Ir2 0.7500 0.2500 0.5000  4 Si 2.40

Entry 11:
Material: Sm3Si2Ir2
Method: DFT, meta-GGA SCAN
State: single point on PBEsol structure

Computed properties:
As for the total energy: -606.1 eV/cell.

Cell: 5.6360 5.6360 13.1923 Å, 90.00 90.00 137.38°
Closest atoms and distances in Å follow each position.
Positions (direct):
Sm1 0.0192 0.9808 0.7500  5 Ir 2.96-3.30, 4 Si 3.07
Sm2 0.2718 0.7282 0.1039  3 Ir 2.96-3.17, 4 Si 3.03-3.10
Sm3 0.2718 0.7282 0.3961  3 Ir 2.96-3.17, 4 Si 3.03-3.10
Sm4 0.7282 0.2718 0.6039  3 Ir 2.96-3.17, 4 Si 3.03-3.10
Sm5 0.7282 0.2718 0.8961  3 Ir 2.96-3.17, 4 Si 3.03-3.10
Sm6 0.9808 0.0192 0.2500  5 Ir 2.96-3.30, 4 Si 3.07
Si1 0.4401 0.5599 0.5890  3 Ir 2.44-2.50, 1 Si 2.66
Si2 0.4401 0.5599 0.9110  3 Ir 2.44-2.50, 1 Si 2.66
Si3 0.5599 0.4401 0.0890  3 Ir 2.44-2.50, 1 Si 2.66
Si4 0.5599 0.4401 0.4110  3 Ir 2.44-2.50, 1 Si 2.66
Ir1 0.0000 0.0000 0.0000  4 Si 2.44
Ir2 0.0000 0.0000 0.5000  4 Si 2.44
Ir3 0.3153 0.6847 0.7500  2 Si 2.50
Ir4 0.6847 0.3153 0.2500  2 Si 2.50

Entry 12:
Material: SrSiIr2
Method: DFT, meta-GGA SCAN
State: single point on PBEsol structure

Computed properties:
As for the total energy: -175.6 eV/cell.

Cell: 5.1895 5.1895 5.7645 Å, 112.61 112.61 32.93°
Closest atoms and distances in Å follow each position.
Positions (direct):
Sr1 0.0000 0.0000 0.0000  2 Sr 2.94, 5 Ir 3.10-3.18, 3 Si 3.15-3.20
Si1 0.8047 0.8047 0.3145  4 Ir 2.39-2.43
Ir1 0.2326 0.2326 0.5703  2 Si 2.39, 2 Ir 2.59
Ir2 0.5105 0.5105 0.5339  2 Si 2.43, 2 Ir 2.59

Entry 13:
Material: SrSiIr
Method: DFT, meta-GGA SCAN
State: single point on PBEsol structure

Computed properties:
As for the total energy: -105.6 eV/cell.

Cell: 4.0451 4.0451 4.7236 Å, 90.00 90.00 120.00°
Closest atoms and distances in Å follow each position.
Positions (direct):
Sr1 0.0000 0.0000 0.0000  6 Ir 3.32, 6 Si 3.32
Si1 0.6667 0.3333 0.5000  3 Ir 2.34
Ir1 0.3333 0.6667 0.5000  3 Si 2.34

Entry 14:
Material: SrSiIr
Method: DFT, meta-GGA SCAN
State: single point on PBEsol structure

Computed properties:
As for the total energy: -104.7 eV/cell.

Cell: 6.1271 6.1271 6.1271 Å, 149.84 149.84 43.18°
Closest atoms and distances in Å follow each position.
Positions (direct):
Sr1 0.0000 0.0000 0.0000  4 Sr 3.19, 5 Ir 3.25-3.36, 5 Si 3.26-3.34
Si1 0.7067 0.7067 0.0000  4 Ir 2.47
Ir1 0.2950 0.2950 0.0000  4 Si 2.47

Entry 15:
Material: SrSiIr
Method: DFT, meta-GGA SCAN
State: single point on PBEsol structure

Computed properties:
As for the total energy: -103.1 eV/cell.

Cell: 4.5278 4.5278 4.5278 Å, 60.00 60.00 60.00°
Closest atoms and distances in Å follow each position.
Positions (direct):
Sr1 0.0000 0.0000 0.0000  4 Ir 2.77
Si1 0.5000 0.5000 0.5000  4 Ir 2.77
Ir1 0.7500 0.7500 0.7500  4 Si 2.77, 4 Sr 2.77

Entry 16:
Material: SrSiIr
Method: DFT, meta-GGA SCAN
State: single point on PBEsol structure

Computed properties:
As for the total energy: -102.6 eV/cell.

Cell: 4.4907 4.4907 4.4907 Å, 60.00 60.00 60.00°
Closest atoms and distances in Å follow each position.
Positions (direct):
Sr1 0.0000 0.0000 0.0000  4 Si 2.75
Si1 0.2500 0.2500 0.2500  4 Ir 2.75, 4 Sr 2.75
Ir1 0.5000 0.5000 0.5000  4 Si 2.75

Entry 17:
Material: TaSiIr3
Method: DFT, meta-GGA SCAN
State: single point on PBEsol structure

Computed properties:
As for the total energy: -280.7 eV/cell.

Cell: 4.7252 4.7252 4.7252 Å, 90.00 90.00 90.00°
Closest atoms and distances in Å follow each position.
Positions (direct):
Ta1 0.0000 0.0000 0.0000  6 Ir 2.36
Si1 0.5000 0.5000 0.5000  12 Ir 3.34
Ir1 0.0000 0.0000 0.5000  2 Ta 2.36
Ir2 0.0000 0.5000 0.0000  2 Ta 2.36
Ir3 0.5000 0.0000 0.0000  2 Ta 2.36

Entry 18:
Material: TbSiIr
Method: DFT, meta-GGA SCAN
State: single point on PBEsol structure

Computed properties:
As for the total energy: -525.8 eV/cell.

Cell: 6.8516 4.2194 7.2946 Å, 90.00 90.00 90.00°
Closest atoms and distances in Å follow each position.
Positions (direct):
Tb1 0.0028 0.2500 0.1845  5 Si 2.94-2.98, 6 Ir 2.96-3.29
Tb2 0.4972 0.7500 0.6845  5 Si 2.94-2.98, 6 Ir 2.96-3.29
Tb3 0.5028 0.2500 0.3155  5 Si 2.94-2.98, 6 Ir 2.96-3.29
Tb4 0.9972 0.7500 0.8155  5 Si 2.94-2.98, 6 Ir 2.96-3.29
Si1 0.2002 0.2500 0.6097  4 Ir 2.45-2.54
Si2 0.2998 0.7500 0.1097  4 Ir 2.45-2.54
Si3 0.7002 0.2500 0.8903  4 Ir 2.45-2.54
Si4 0.7998 0.7500 0.3903  4 Ir 2.45-2.54
Ir1 0.1551 0.7500 0.4309  4 Si 2.45-2.54
Ir2 0.3449 0.2500 0.9309  4 Si 2.45-2.54
Ir3 0.6551 0.7500 0.0691  4 Si 2.45-2.54
Ir4 0.8449 0.2500 0.5691  4 Si 2.45-2.54

Entry 19:
Material: Si2TcIr
Method: DFT, meta-GGA SCAN
State: single point on PBEsol structure

Computed properties:
As for the total energy: -126.4 eV/cell. Its energy relative to the lowest polymorph listed for this composition is 626 meV/atom.

Cell: 2.7064 2.7064 7.4632 Å, 90.00 90.00 90.00°
Closest atoms and distances in Å follow each position.
Positions (direct):
Si1 0.0000 0.0000 0.0000  4 Ir 2.60, 8 Si 2.71-2.79
Si2 0.5000 0.5000 0.2726  4 Tc 2.63, 8 Si 2.71-2.79
Tc1 0.0000 0.0000 0.5140  4 Si 2.63, 4 Ir 2.67, 4 Tc 2.71
Ir1 0.5000 0.5000 0.7637  4 Si 2.60, 4 Tc 2.67, 4 Ir 2.71

Entry 20:
Material: Si2TcIr
Method: DFT, meta-GGA SCAN
State: single point on PBEsol structure

Computed properties:
As for the total energy: -126.8 eV/cell. Its energy relative to the lowest polymorph listed for this composition is 528 meV/atom.

Cell: 4.8468 4.8468 4.8468 Å, 145.82 118.87 71.94°
Closest atoms and distances in Å follow each position.
Positions (direct):
Si1 0.2497 0.2497 0.0000  2 Ir 2.42, 2 Tc 2.43
Si2 0.7503 0.7503 0.0000  2 Ir 2.42, 2 Tc 2.43
Tc1 0.5000 0.0000 0.5000  4 Si 2.43
Ir1 0.0000 0.5000 0.5000  4 Si 2.42